Entry P
Compound: Ga4CuAu
Source: Alexandria
Functional: PBE
Structure: relaxed

Lattice parameters (Å, degrees): 5.9769 5.9772 6.1631 90.00 90.01 90.00
Space group Cm (No. 8)
Inequivalent atoms, fractional coordinates:
Ga 0.0000 0.2494 0.0000 x4
Ga 0.0000 0.2494 0.4645 x4
Cu 0.2491 0.5000 0.2329 x2
Au 0.2502 0.0000 0.7322 x2


Entry Q
Compound: Ga4CuAu
Source: Alexandria
Functional: PBE
Structure: relaxed

Lattice parameters (Å, degrees): 9.0187 11.1481 5.3041 90.00 125.42 90.00
Space group C2/c (No. 15)
Inequivalent atoms, fractional coordinates:
Ga 0.1529 0.1581 0.0666 x8
Ga 0.1775 0.4104 0.3425 x8
Cu 0.0000 0.0290 0.2500 x4
Au 0.0000 0.3616 0.7500 x4


Energies relative to the minimum, kJ/mol of atoms: entry P 0.0; entry Q 9.2


Entry P
Compound: Ga2Cu4Au5
Source: Alexandria
Functional: PBE
Structure: relaxed

Lattice parameters (Å, degrees): 3.8999 4.7924 10.3380 103.12 90.12 113.23
Space group P-1 (No. 2)
Inequivalent atoms, fractional coordinates:
Ga 0.0919 0.1935 0.1455 x2
Cu 0.1704 0.3391 0.7672 x2
Cu 0.4438 0.8957 0.6828 x2
Au 0.0000 0.0000 0.5000 x1
Au 0.2745 0.5428 0.3943 x2
Au 0.3654 0.7379 0.0609 x2


Entry Q
Compound: Ga2Cu4Au5
Source: Alexandria
Functional: PBE
Structure: relaxed

Lattice parameters (Å, degrees): 18.3464 3.0690 6.3967 90.00 98.39 90.00
Space group C2/m (No. 12)
Inequivalent atoms, fractional coordinates:
Ga 0.2244 0.0000 0.3077 x4
Cu 0.0335 0.5000 0.8396 x4
Cu 0.0770 0.0000 0.1502 x4
Au 0.0000 0.0000 0.5000 x2
Au 0.1336 0.5000 0.5060 x4
Au 0.1758 0.5000 0.9636 x4


Energies relative to the minimum, kJ/mol of atoms: entry P 0.0; entry Q 4.2


Entry P
Compound: GdCuAu2
Source: Alexandria
Functional: PBE
Structure: relaxed

Lattice parameters (Å, degrees): 4.5338 4.5338 13.7597 90.00 90.00 120.00
Space group R-3m (No. 166, hexagonal axes)
Inequivalent atoms, fractional coordinates:
Gd 0.0000 0.0000 0.0000 x3
Cu 0.0000 0.0000 0.5000 x3
Au 0.0000 0.0000 0.2217 x6


Entry Q
Compound: GdCuAu2
Source: Alexandria
Functional: PBE
Structure: relaxed

Lattice parameters (Å, degrees): 3.4755 3.4755 6.4940 90.00 90.00 90.00
Space group P4/mmm (No. 123)
Inequivalent atoms, fractional coordinates:
Gd 0.0000 0.0000 0.0000 x1
Cu 0.0000 0.0000 0.5000 x1
Au 0.5000 0.5000 0.2842 x2


Energies relative to the minimum, kJ/mol of atoms: entry P 0.0; entry Q 5.8


Entry P
Compound: Cu5GeAu2
Source: Alexandria
Functional: PBE
Structure: relaxed

Lattice parameters (Å, degrees): 3.4117 5.1687 13.4174 90.00 90.00 90.00
Space group Immm (No. 71)
Inequivalent atoms, fractional coordinates:
Cu 0.0000 0.0000 0.0000 x2
Cu 0.0000 0.2486 0.3963 x8
Ge 0.0000 0.5000 0.0000 x2
Au 0.0000 0.0000 0.2221 x4


Entry Q
Compound: Cu5GeAu2
Source: Alexandria
Functional: PBE
Structure: relaxed

Lattice parameters (Å, degrees): 4.2292 4.2292 12.5228 90.00 90.00 90.00
Space group I4/mmm (No. 139)
Inequivalent atoms, fractional coordinates:
Cu 0.0000 0.0000 0.0000 x2
Cu 0.0000 0.5000 0.1118 x8
Ge 0.0000 0.0000 0.5000 x2
Au 0.0000 0.0000 0.2460 x4


Energies relative to the minimum, kJ/mol of atoms: entry P 7.8; entry Q 0.0


Entry P
Compound: Cu2Ge2Au
Source: Alexandria
Functional: PBE
Structure: relaxed

Lattice parameters (Å, degrees): 3.7919 3.7919 11.5076 90.00 90.00 90.00
Space group I4/mmm (No. 139)
Inequivalent atoms, fractional coordinates:
Cu 0.0000 0.5000 0.2500 x4
Ge 0.0000 0.0000 0.1071 x4
Au 0.0000 0.0000 0.5000 x2


Entry Q
Compound: Cu2Ge2Au
Source: Alexandria
Functional: PBE
Structure: relaxed

Lattice parameters (Å, degrees): 3.6681 3.6681 12.1242 90.00 90.00 90.00
Space group I4/mmm (No. 139)
Inequivalent atoms, fractional coordinates:
Cu 0.0000 0.0000 0.0993 x4
Ge 0.0000 0.5000 0.2500 x4
Au 0.0000 0.0000 0.5000 x2


Energies relative to the minimum, kJ/mol of atoms: entry P 2.8; entry Q 0.0


Entry P
Compound: Cu2Ge2Au
Source: Alexandria
Functional: PBE
Structure: relaxed

Lattice parameters (Å, degrees): 6.8587 6.8587 3.4303 90.00 90.00 90.00
Space group P4/mbm (No. 127)
Inequivalent atoms, fractional coordinates:
Cu 0.1309 0.3691 0.0000 x4
Ge 0.1674 0.6674 0.5000 x4
Au 0.0000 0.0000 0.0000 x2


Entry Q
Compound: Cu2Ge2Au
Source: Alexandria
Functional: PBE
Structure: relaxed

Lattice parameters (Å, degrees): 7.4514 7.4514 2.9026 90.00 90.00 90.00
Space group P4/mbm (No. 127)
Inequivalent atoms, fractional coordinates:
Cu 0.1206 0.3794 0.0000 x4
Ge 0.1768 0.6768 0.5000 x4
Au 0.0000 0.0000 0.5000 x2


Energies relative to the minimum, kJ/mol of atoms: entry P 0.0; entry Q 3.0


Entry P
Compound: Cu6GeAu12
Source: Alexandria
Functional: PBE
Structure: relaxed

Lattice parameters (Å, degrees): 12.4373 12.4373 6.9711 90.00 90.00 120.00
Space group R-3 (No. 148, hexagonal axes)
Inequivalent atoms, fractional coordinates:
Cu 0.0324 0.7500 0.3294 x18
Ge 0.0000 0.0000 0.0000 x3
Au 0.0038 0.8647 0.6617 x18
Au 0.0628 0.5046 0.6713 x18


Entry Q
Compound: Cu6GeAu12
Source: Alexandria
Functional: PBE
Structure: relaxed

Lattice parameters (Å, degrees): 11.1729 11.1729 9.3259 90.00 90.00 120.00
Space group R-3 (No. 148, hexagonal axes)
Inequivalent atoms, fractional coordinates:
Cu 0.0330 0.8899 0.2081 x18
Ge 0.0000 0.0000 0.5000 x3
Au 0.0620 0.5931 0.1210 x18
Au 0.0660 0.5881 0.6151 x18


Energies relative to the minimum, kJ/mol of atoms: entry P 0.0; entry Q 10.7


Entry P
Compound: Cu5GeAu6
Source: Alexandria
Functional: PBE
Structure: relaxed

Lattice parameters (Å, degrees): 4.2629 6.8550 6.6809 90.00 106.85 90.00
Space group P2/m (No. 10)
Inequivalent atoms, fractional coordinates:
Cu 0.0000 0.0000 0.0000 x1
Cu 0.3259 0.5000 0.6587 x2
Cu 0.3310 0.0000 0.6684 x2
Ge 0.0000 0.5000 0.0000 x1
Au 0.1716 0.2453 0.3374 x4
Au 0.5000 0.2439 0.0000 x2


Entry Q
Compound: Cu5GeAu6
Source: Alexandria
Functional: PBE
Structure: relaxed

Lattice parameters (Å, degrees): 5.0016 8.6226 8.9493 90.00 100.68 90.00
Space group C2/m (No. 12)
Inequivalent atoms, fractional coordinates:
Cu 0.0000 0.0000 0.0000 x2
Cu 0.0000 0.1718 0.5000 x4
Cu 0.0000 0.3390 0.0000 x4
Ge 0.0000 0.5000 0.5000 x2
Au 0.2455 0.0000 0.7511 x4
Au 0.2448 0.1690 0.2426 x8


Energies relative to the minimum, kJ/mol of atoms: entry P 0.0; entry Q 4.9